Record 1
This record from the Alexandria database describes CaLu2Pt after structural relaxation. The functional is GGA-PBE.

Values from the calculation:
Its formation energy is -2.43 eV per formula unit. The value obtained for the energy above the most stable polymorph in this dataset is 0 meV/atom.

a = 3.470 Å, b = 3.470 Å, c = 9.236 Å
α = 90.00°, β = 90.00°, γ = 90.00°
Space group P4/mmm (No. 123)
Symmetry-distinct sites (fractional):
Ca: 0.000 0.000 0.000 [1 per cell]
Lu: 0.500 0.500 0.324 [2 per cell]
Pt: 0.000 0.000 0.500 [1 per cell]


Record 2
This record from the Alexandria database describes NaCa6Cl12 after structural relaxation. The functional is GGA-PBE.

Values from the calculation:
For the energy relative to the elements, uncorrected, the calculation gives -2.186 eV/atom.

a = 11.8597 Å, b = 11.8597 Å, c = 13.3406 Å
α = 90.00°, β = 90.00°, γ = 120.00°
Space group R-3 (No. 148, hexagonal axes)
Symmetry-distinct sites (fractional):
Na: 0.0000 0.0000 0.0000 [3 per cell]
Ca: 0.0450 0.2658 0.6881 [18 per cell]
Cl: 0.0269 0.2145 0.8935 [18 per cell]
Cl: 0.0298 0.1960 0.3784 [18 per cell]


Record 3
This record from the Alexandria database describes Pm3Sm5Th2 after structural relaxation. The functional is GGA-PBE.

Values from the calculation:
Its formation energy is 2.03 eV per formula unit.

a = 10.968 Å, b = 17.636 Å, c = 9.001 Å
α = 90.00°, β = 127.52°, γ = 90.00°
Space group C2/c (No. 15)
Symmetry-distinct sites (fractional):
Pm: 0.000 0.220 0.250 [4 per cell]
Pm: 0.144 0.125 0.037 [8 per cell]
Sm: 0.000 0.031 0.250 [4 per cell]
Sm: 0.000 0.280 0.750 [4 per cell]
Sm: 0.000 0.469 0.750 [4 per cell]
Sm: 0.250 0.123 0.750 [8 per cell]
Th: 0.136 0.376 0.522 [8 per cell]


Record 4
This record from the Alexandria database describes Dy2Y3Ho6Th after structural relaxation. The functional is GGA-PBE.

Values from the calculation:
Its formation energy is 0.31 eV per formula unit.

a = 6.145 Å, b = 10.636 Å, c = 11.760 Å
α = 90.00°, β = 100.02°, γ = 90.00°
Space group C2/m (No. 12)
Symmetry-distinct sites (fractional):
Dy: 0.000 0.167 0.000 [4 per cell]
Y: 0.000 0.000 0.500 [2 per cell]
Y: 0.000 0.333 0.500 [4 per cell]
Ho: 0.247 0.500 0.752 [4 per cell]
Ho: 0.248 0.335 0.249 [8 per cell]
Th: 0.000 0.500 0.000 [2 per cell]


Record 5
This record from the Alexandria database describes Sr2Si3NiPt4 after structural relaxation. The functional is GGA-PBE.

Values from the calculation:
For the energy relative to the elements, uncorrected, the calculation gives -0.811 eV/atom.

a = 4.326 Å, b = 4.326 Å, c = 9.923 Å
α = 90.00°, β = 90.00°, γ = 90.00°
Space group P-4m2 (No. 115)
Symmetry-distinct sites (fractional):
Sr: 0.000 0.500 0.242 [2 per cell]
Si: 0.000 0.000 0.000 [1 per cell]
Si: 0.000 0.500 0.625 [2 per cell]
Ni: 0.500 0.500 0.000 [1 per cell]
Pt: 0.000 0.000 0.500 [1 per cell]
Pt: 0.000 0.500 0.869 [2 per cell]
Pt: 0.500 0.500 0.500 [1 per cell]


Record 6
This record from the Alexandria database describes Tb6Pr6Nd after structural relaxation. The functional is GGA-PBE.

Values from the calculation:
Its formation energy is 3.22 eV per formula unit.

a = 6.7695 Å, b = 6.7695 Å, c = 11.5704 Å
α = 90.00°, β = 90.00°, γ = 120.00°
Space group P6/mmm (No. 191)
Symmetry-distinct sites (fractional):
Tb: 0.0000 0.5000 0.2488 [6 per cell]
Pr: 0.0000 0.0000 0.3485 [2 per cell]
Pr: 0.3333 0.6667 0.0000 [2 per cell]
Pr: 0.3333 0.6667 0.5000 [2 per cell]
Nd: 0.0000 0.0000 0.0000 [1 per cell]